Compound: Be2SiAs
Source: Alexandria
Functional: GGA-PBE
Structure: relaxed

Values from the calculation:
- ΔE to the lowest computed polymorph: 0.931 eV per formula unit
- Raw formation energy: 0.406 eV per atom

Lattice parameters (Å, degrees): 2.7791 3.5082 5.4476 90.00 96.41 90.00
Closest atoms and distances in Å follow each position.
Sites, in units of the cell vectors:
Be: 0.0168 0.0000 0.2035  1 Be 2.21, 2 As 2.39, 2 Si 2.45
Be: 0.9832 0.0000 0.7965  1 Be 2.21, 2 As 2.39, 2 Si 2.45
Si: 0.5000 0.5000 0.0000  8 Be 2.45-2.54
As: 0.0000 0.5000 0.5000  4 Be 2.39

Compound: VSnMoRu2
Source: Alexandria
Functional: GGA-PBE
Structure: relaxed

Values from the calculation:
- Formation energy from the elements: 2.137 eV/atom

Lattice parameters (Å, degrees): 4.7376 4.7376 4.9120 90.00 90.00 90.00
Closest atoms and distances in Å follow each position.
Sites, in units of the cell vectors:
V: 0.0000 0.0000 0.0000  4 Mo 3.35, 8 Ru 3.41
Sn: 0.5000 0.5000 0.5000  4 Ru 2.37, 2 Mo 2.46
Mo: 0.5000 0.5000 0.0000  2 Sn 2.46
Ru: 0.0000 0.5000 0.5000  2 Sn 2.37
Ru: 0.5000 0.0000 0.5000  2 Sn 2.37

Compound: Pm2HI2F4
Source: Alexandria
Functional: GGA-PBE
Structure: relaxed

Values from the calculation:
- VASP energy: -45.95 eV per cell

Lattice parameters (Å, degrees): 4.3159 6.3731 9.5294 74.04 77.01 70.21
Closest atoms and distances in Å follow each position.
Sites, in units of the cell vectors:
Pm: 0.0587 0.2291 0.1546  3 F 2.26-2.28
Pm: 0.9413 0.7709 0.8454  3 F 2.26-2.28
H: 0.0000 0.0000 0.5000  2 F 1.14
I: 0.2359 0.2189 0.8081  4 Pm 3.23-3.40, 3 F 3.29-3.50
I: 0.7641 0.7811 0.1919  4 Pm 3.23-3.40, 3 F 3.29-3.50
F: 0.0313 0.8405 0.5937  1 H 1.14
F: 0.4953 0.6602 0.8482  2 Pm 2.26
F: 0.5047 0.3398 0.1518  2 Pm 2.26
F: 0.9687 0.1595 0.4063  1 H 1.14

Compound: Pu3HfTl4O12
Source: Alexandria
Functional: GGA-PBE
Structure: relaxed

Values from the calculation:
- Raw formation energy: -2.198 eV per atom

Lattice parameters (Å, degrees): 7.3957 7.3957 7.3957 109.47 109.47 109.47
Closest atoms and distances in Å follow each position.
Sites, in units of the cell vectors:
Pu: 0.0000 0.5000 0.5000  6 O 2.13
Pu: 0.5000 0.0000 0.5000  6 O 2.13
Pu: 0.5000 0.5000 0.0000  6 O 2.13
Hf: 0.0000 0.0000 0.0000  6 O 2.14
Tl: 0.0000 0.0000 0.5000  12 O 3.02
Tl: 0.0000 0.5000 0.0000  12 O 3.02
Tl: 0.5000 0.0000 0.0000  12 O 3.02
Tl: 0.5000 0.5000 0.5000  12 O 3.02
O: 0.0000 0.2500 0.2500  1 Pu 2.13, 1 Hf 2.14
O: 0.0000 0.7500 0.7500  1 Pu 2.13, 1 Hf 2.14
O: 0.2500 0.0000 0.2500  1 Pu 2.13, 1 Hf 2.14
O: 0.2500 0.2500 0.0000  1 Pu 2.13, 1 Hf 2.14
O: 0.2500 0.5000 0.7500  2 Pu 2.13
O: 0.2500 0.7500 0.5000  2 Pu 2.13
O: 0.5000 0.2500 0.7500  2 Pu 2.13
O: 0.5000 0.7500 0.2500  2 Pu 2.13
O: 0.7500 0.0000 0.7500  1 Pu 2.13, 1 Hf 2.14
O: 0.7500 0.2500 0.5000  2 Pu 2.13
O: 0.7500 0.5000 0.2500  2 Pu 2.13
O: 0.7500 0.7500 0.0000  1 Pu 2.13, 1 Hf 2.14

Compound: CaDyTlCd
Source: Alexandria
Functional: GGA-PBE
Structure: relaxed

Values from the calculation:
- Formation energy from the elements: -0.381 eV/atom

Lattice parameters (Å, degrees): 5.3784 5.3784 5.3784 60.00 60.00 60.00
Closest atoms and distances in Å follow each position.
Sites, in units of the cell vectors:
Ca: 0.0000 0.0000 0.0000  4 Cd 3.29, 4 Tl 3.29
Dy: 0.5000 0.5000 0.5000  4 Tl 3.29, 4 Cd 3.29
Tl: 0.7500 0.7500 0.7500  4 Dy 3.29, 4 Ca 3.29
Cd: 0.2500 0.2500 0.2500  4 Dy 3.29, 4 Ca 3.29

Compound: TaFeGeTe2Pd
Source: Alexandria
Functional: GGA-PBE
Structure: relaxed

Values from the calculation:
- ΔE to the lowest computed polymorph: 0.897 eV per formula unit
- Raw formation energy: -0.130 eV per atom

Lattice parameters (Å, degrees): 3.7846 4.4428 8.8470 91.59 90.14 115.18
Closest atoms and distances in Å follow each position.
Sites, in units of the cell vectors:
Ta: 0.0000 0.0000 0.0000  2 Fe 2.52, 3 Pd 2.63-2.75, 2 Ge 2.81
Fe: 0.6147 0.2261 0.1605  3 Ge 2.41-2.49, 2 Ta 2.52, 1 Pd 2.67, 2 Te 2.67
Ge: 0.3146 0.6268 0.1576  3 Fe 2.41-2.49, 1 Te 2.61
Te: 0.1017 0.1980 0.3727  1 Ge 2.61, 2 Fe 2.67
Te: 0.3888 0.7820 0.7338  3 Pd 2.73-2.75
Pd: 0.6983 0.3997 0.8723  3 Ta 2.63-2.75, 1 Fe 2.67, 3 Te 2.73-2.75

Compound: MgHgNF2
Source: Alexandria
Functional: GGA-PBE
Structure: relaxed

Values from the calculation:
- ΔE to the lowest computed polymorph: 4.500 eV per formula unit
- Raw formation energy: -0.198 eV per atom

Lattice parameters (Å, degrees): 4.5473 4.5473 4.1727 90.00 90.00 90.00
Closest atoms and distances in Å follow each position.
Sites, in units of the cell vectors:
Mg: 0.0000 0.0000 0.0000  8 F 3.09, 4 N 3.22
Hg: 0.5000 0.5000 0.5000  2 N 2.09, 4 F 2.27
N: 0.5000 0.5000 0.0000  2 Hg 2.09
F: 0.0000 0.5000 0.5000  2 Hg 2.27
F: 0.5000 0.0000 0.5000  2 Hg 2.27

Compound: PrSmGe2
Source: Alexandria
Functional: GGA-PBE
Structure: relaxed

Values from the calculation:
- ΔE to the lowest computed polymorph: 0.912 eV per formula unit
- Formation energy from the elements: -0.619 eV/atom

Lattice parameters (Å, degrees): 4.8599 4.8599 4.1617 90.00 90.00 90.00
Closest atoms and distances in Å follow each position.
Sites, in units of the cell vectors:
Pr: 0.0000 0.0000 0.0000  8 Ge 3.20, 4 Sm 3.44
Sm: 0.5000 0.5000 0.0000  8 Ge 3.20, 4 Pr 3.44
Ge: 0.0000 0.5000 0.5000  4 Sm 3.20, 4 Pr 3.20, 4 Ge 3.44
Ge: 0.5000 0.0000 0.5000  4 Sm 3.20, 4 Pr 3.20, 4 Ge 3.44

Compound: Dy7SbAs5
Source: Alexandria
Functional: GGA-PBE
Structure: relaxed

Values from the calculation:
- Raw formation energy: -1.366 eV per atom

Lattice parameters (Å, degrees): 7.0792 7.0792 24.2769 90.00 90.00 145.99
Closest atoms and distances in Å follow each position.
Sites, in units of the cell vectors:
Dy: 0.0320 0.9680 0.7500  2 As 2.80, 2 Sb 3.09
Dy: 0.1364 0.8636 0.0347  6 As 2.90-2.92
Dy: 0.1364 0.8636 0.4653  6 As 2.90-2.92
Dy: 0.3244 0.6756 0.6749  3 As 2.79-2.85
Dy: 0.3244 0.6756 0.8251  3 As 2.79-2.85
Dy: 0.4088 0.5912 0.1052  5 As 2.84-2.90
Dy: 0.4088 0.5912 0.3948  5 As 2.84-2.90
Dy: 0.5912 0.4088 0.6052  5 As 2.84-2.90
Dy: 0.5912 0.4088 0.8948  5 As 2.84-2.90
Dy: 0.6756 0.3244 0.1749  3 As 2.79-2.85
Dy: 0.6756 0.3244 0.3251  3 As 2.79-2.85
Dy: 0.8636 0.1364 0.5347  6 As 2.90-2.92
Dy: 0.8636 0.1364 0.9653  6 As 2.90-2.92
Dy: 0.9680 0.0320 0.2500  2 As 2.80, 2 Sb 3.09
Sb: 0.2990 0.7010 0.2500  6 Dy 3.09-3.22
Sb: 0.7010 0.2990 0.7500  6 Dy 3.09-3.22
As: 0.0432 0.9568 0.1427  6 Dy 2.80-2.91
As: 0.0432 0.9568 0.3573  6 Dy 2.80-2.91
As: 0.2282 0.7718 0.5733  6 Dy 2.79-2.92
As: 0.2282 0.7718 0.9267  6 Dy 2.79-2.92
As: 0.5000 0.5000 0.0000  6 Dy 2.84-2.90
As: 0.5000 0.5000 0.5000  6 Dy 2.84-2.90
As: 0.7718 0.2282 0.0733  6 Dy 2.79-2.92
As: 0.7718 0.2282 0.4267  6 Dy 2.79-2.92
As: 0.9568 0.0432 0.6427  6 Dy 2.80-2.91
As: 0.9568 0.0432 0.8573  6 Dy 2.80-2.91

Compound: AlGa2Cl5
Source: Alexandria
Functional: GGA-PBE
Structure: relaxed

Values from the calculation:
- ΔE to the lowest computed polymorph: 0.000 eV per formula unit
- Raw formation energy: -1.146 eV per atom

Lattice parameters (Å, degrees): 10.4182 10.4182 13.9995 117.39 117.39 52.28
Closest atoms and distances in Å follow each position.
Sites, in units of the cell vectors:
Al: 0.1043 0.2440 0.3281  4 Cl 2.15-2.17
Al: 0.2440 0.1043 0.8281  4 Cl 2.15-2.17
Al: 0.7560 0.8957 0.1719  4 Cl 2.15-2.17
Al: 0.8957 0.7560 0.6719  4 Cl 2.15-2.17
Ga: 0.2166 0.5269 0.1838  3 Cl 2.84-3.16
Ga: 0.2679 0.6616 0.5434  2 Cl 2.72-2.90
Ga: 0.3384 0.7321 0.9566  2 Cl 2.72-2.90
Ga: 0.4731 0.7834 0.3162  3 Cl 2.84-3.16
Ga: 0.5269 0.2166 0.6838  3 Cl 2.84-3.16
Ga: 0.6616 0.2679 0.0434  2 Cl 2.72-2.90
Ga: 0.7321 0.3384 0.4566  2 Cl 2.72-2.90
Ga: 0.7834 0.4731 0.8162  3 Cl 2.84-3.16
Cl: 0.0395 0.1427 0.6799  1 Al 2.16
Cl: 0.1413 0.2183 0.9682  1 Al 2.15
Cl: 0.1427 0.0395 0.1799  1 Al 2.16
Cl: 0.1644 0.5891 0.6907  1 Al 2.17
Cl: 0.2163 0.3773 0.3487  1 Al 2.16
Cl: 0.2183 0.1413 0.4682  1 Al 2.15
Cl: 0.3773 0.2163 0.8487  1 Al 2.16
Cl: 0.3985 0.5719 0.1082  4 Ga 2.72-2.90
Cl: 0.4109 0.8356 0.8093  1 Al 2.17
Cl: 0.4281 0.6015 0.3918  4 Ga 2.72-2.90
Cl: 0.5719 0.3985 0.6082  4 Ga 2.72-2.90
Cl: 0.5891 0.1644 0.1907  1 Al 2.17
Cl: 0.6015 0.4281 0.8918  4 Ga 2.72-2.90
Cl: 0.6227 0.7837 0.1513  1 Al 2.16
Cl: 0.7817 0.8587 0.5318  1 Al 2.15
Cl: 0.7837 0.6227 0.6513  1 Al 2.16
Cl: 0.8356 0.4109 0.3093  1 Al 2.17
Cl: 0.8573 0.9605 0.8201  1 Al 2.16
Cl: 0.8587 0.7817 0.0318  1 Al 2.15
Cl: 0.9605 0.8573 0.3201  1 Al 2.16

Compound: GaCo2Se
Source: Alexandria
Functional: GGA-PBE
Structure: relaxed

Values from the calculation:
- Raw formation energy: 0.147 eV per atom

Lattice parameters (Å, degrees): 8.1241 8.1241 8.1241 151.78 151.78 40.34
Closest atoms and distances in Å follow each position.
Sites, in units of the cell vectors:
Ga: 0.0000 0.0000 0.0000  4 Co 2.43
Ga: 0.7500 0.2500 0.5000  4 Co 2.43
Co: 0.1640 0.6250 0.0390  2 Se 2.31, 2 Ga 2.43
Co: 0.3750 0.4140 0.5390  2 Se 2.31, 2 Ga 2.43
Co: 0.5860 0.1250 0.9610  2 Se 2.31, 2 Ga 2.43
Co: 0.8750 0.8360 0.4610  2 Se 2.31, 2 Ga 2.43
Se: 0.2500 0.7500 0.5000  4 Co 2.31
Se: 0.5000 0.5000 0.0000  4 Co 2.31

Number 1: total magnetization 0.00 Bohr magnetons per cell. Number 2: total magnetization 0.06 Bohr magnetons per cell. Number 3: total magnetization 0.97 Bohr magnetons per cell. Number 4: total magnetization 8.00 Bohr magnetons per cell. Number 5: total magnetization 0.00 Bohr magnetons per cell. Number 6: total magnetization 0.00 Bohr magnetons per cell. Number 7: total magnetization 0.64 Bohr magnetons per cell. Number 8: total magnetization 0.00 Bohr magnetons per cell. Number 9: total magnetization 0.58 Bohr magnetons per cell. Number 10: total magnetization 0.00 Bohr magnetons per cell. Number 11: total magnetization 1.46 Bohr magnetons per cell.